# BaGaP3

A relaxed structure of BaGaP3 (GGA-PBEsol, Alexandria).

abc: 5.541 5.541 5.541
angles: 90.00 90.00 90.00
Element x y z (fractional)
Ga: 0.500 0.500 0.500
P: 0.000 0.000 0.500
P: 0.000 0.500 0.000
P: 0.500 0.000 0.000
Ba: 0.000 0.000 0.000

## Properties
DOS at the Fermi energy in states/eV/f.u.: 6.03
Calculated formation energy in eV/atom: 1.43
SG: Pm-3m, No. 221

# Ba3GaPd

A relaxed structure of Ba3GaPd (GGA-PBEsol, Alexandria).

abc: 5.973 5.973 5.973
angles: 90.00 90.00 90.00
Element x y z (fractional)
Ba: 0.000 0.500 0.000
Ba: 0.000 0.000 0.500
Ba: 0.500 0.000 0.000
Ga: 0.500 0.500 0.500
Pd: 0.000 0.000 0.000

## Properties
DOS at the Fermi energy in states/eV/f.u.: 5.50
Calculated formation energy in eV/atom: -0.10
SG: Pm-3m, No. 221

# BaGa2Pd2

A relaxed structure of BaGa2Pd2 (GGA-PBEsol, Alexandria).

abc: 4.393 4.393 6.242
angles: 110.60 110.60 90.00
Element x y z (fractional)
Pd: 0.631 0.631 0.261
Pd: 0.369 0.369 0.739
Ga: 0.250 0.750 0.500
Ga: 0.750 0.250 0.500
Ba: 0.000 0.000 0.000

## Properties
DOS at the Fermi energy in states/eV/f.u.: 3.09
Calculated formation energy in eV/atom: -0.61
SG: I4/mmm, No. 139

# BaGa3Re

A relaxed structure of BaGa3Re (GGA-PBEsol, Alexandria).

abc: 4.876 4.876 4.876
angles: 90.00 90.00 90.00
Element x y z (fractional)
Ga: 0.000 0.000 0.500
Ga: 0.000 0.500 0.000
Ga: 0.500 0.000 0.000
Re: 0.000 0.000 0.000
Ba: 0.500 0.500 0.500

## Properties
DOS at the Fermi energy in states/eV/f.u.: 1.40
Calculated formation energy in eV/atom: -0.33
SG: Pm-3m, No. 221

# BaGaRe3

A relaxed structure of BaGaRe3 (GGA-PBEsol, Alexandria).

abc: 4.714 4.714 4.714
angles: 90.00 90.00 90.00
Element x y z (fractional)
Ga: 0.000 0.000 0.000
Re: 0.000 0.000 0.500
Re: 0.000 0.500 0.000
Re: 0.500 0.000 0.000
Ba: 0.500 0.500 0.500

## Properties
DOS at the Fermi energy in states/eV/f.u.: 9.80
Calculated formation energy in eV/atom: 1.92
SG: Pm-3m, No. 221

# BaTi2GaRe

A relaxed structure of BaTi2GaRe (GGA-PBEsol, Alexandria).

abc: 4.823 4.823 5.185
angles: 90.00 90.00 90.00
Element x y z (fractional)
Re: 0.500 0.500 0.500
Ga: 0.000 0.000 0.500
Ti: 0.000 0.500 0.000
Ti: 0.500 0.000 0.000
Ba: 0.000 0.000 0.000

## Properties
DOS at the Fermi energy in states/eV/f.u.: 6.01
Calculated formation energy in eV/atom: 2.58
SG: P4/mmm, No. 123

What are the total magnetization values for these records? In order: 0.00, 0.57, 0.00, 0.00, 1.88, 2.18 μB per formula unit.